MgPaFe2O6 after structural relaxation, computed with PBE+U.

Results
Uncorrected energy in eV/cell: -74.4

Geometry as POSCAR:
```
MgPaFe2O6
1.0
2.689 1.552 4.704
-2.689 1.552 4.704
0.000 -3.105 4.704
Mg Pa Fe O
1 1 2 6
direct
0.000 0.000 0.000 Mg
0.504 0.504 0.504 Pa
0.298 0.298 0.298 Fe
0.792 0.792 0.792 Fe
0.078 0.695 0.414 O
0.175 0.591 0.917 O
0.414 0.078 0.695 O
0.591 0.917 0.175 O
0.695 0.414 0.078 O
0.917 0.175 0.591 O
```